No. 1
# Hf2N2O GGA-PBE optimized geometry
data_Hf2N2O
_chemical_formula_sum 'Hf24 N24 O12'
_symmetry_space_group_name_H-M 'C 1 2/c 1'
_symmetry_Int_Tables_number 15
_symmetry_space_group_name_Hall '-C 2yc'
_cell_length_a 9.5080
_cell_length_b 5.4610
_cell_length_c 14.6099
_cell_angle_alpha 90.00
_cell_angle_beta 90.09
_cell_angle_gamma 90.00
loop_
_atom_site_label
_atom_site_type_symbol
_atom_site_fract_x
_atom_site_fract_y
_atom_site_fract_z
_atom_site_occupancy
Hf1 Hf 0.0017 0.0057 0.1428 1
Hf2 Hf 0.1762 0.4988 0.4760 1
Hf3 Hf 0.1774 0.4945 0.6900 1
N1 N 0.1475 0.1489 0.2483 1
N2 N 0.1612 0.2037 0.5821 1
N3 N 0.1870 0.1507 0.9151 1
O1 O 0.0000 0.3062 0.7500 1
O2 O 0.0106 0.3481 0.0820 1
# * DOS at the Fermi energy: 0.0 states/eV/f.u.


No. 2
# Hf2N2O GGA-PBE optimized geometry
data_Hf2N2O
_chemical_formula_sum 'Hf8 N8 O4'
_symmetry_space_group_name_H-M 'P 1'
_symmetry_Int_Tables_number 1
_symmetry_space_group_name_Hall 'P 1'
_cell_length_a 5.4341
_cell_length_b 5.4779
_cell_length_c 10.1997
_cell_angle_alpha 75.60
_cell_angle_beta 75.05
_cell_angle_gamma 60.69
loop_
_atom_site_label
_atom_site_type_symbol
_atom_site_fract_x
_atom_site_fract_y
_atom_site_fract_z
_atom_site_occupancy
Hf1 Hf 0.0000 0.0000 0.0000 1
Hf2 Hf 0.0890 0.1376 0.6784 1
Hf3 Hf 0.2594 0.2511 0.2506 1
Hf4 Hf 0.3688 0.3515 0.9300 1
Hf5 Hf 0.4913 0.4935 0.5002 1
Hf6 Hf 0.5833 0.6247 0.1789 1
Hf7 Hf 0.7342 0.7640 0.7493 1
Hf8 Hf 0.8659 0.8703 0.4275 1
N1 N 0.0914 0.5108 0.5846 1
N2 N 0.2574 0.8591 0.3390 1
N3 N 0.2824 0.6085 0.0927 1
N4 N 0.3373 0.0519 0.8411 1
N5 N 0.5566 0.2578 0.3389 1
N6 N 0.5867 0.0131 0.0860 1
N7 N 0.7456 0.3569 0.8335 1
N8 N 0.7917 0.1021 0.5899 1
O1 O 0.0372 0.7436 0.8466 1
O2 O 0.4861 0.8024 0.5938 1
O3 O 0.8526 0.5583 0.3398 1
O4 O 0.9805 0.3095 0.0916 1
# * DOS at the Fermi energy: 0.0 states/eV/f.u.


No. 3
The following is a GGA-PBE calculation of a relaxed structure of Hf2N2O, from the Alexandria database.

```
data_Hf2N2O
_chemical_formula_sum 'Hf8 N8 O4'
_symmetry_space_group_name_H-M 'P n m a'
_symmetry_Int_Tables_number 62
_symmetry_space_group_name_Hall '-P 2ac 2n'
_cell_length_a 5.8158
_cell_length_b 3.0953
_cell_length_c 12.3203
_cell_angle_alpha 90.00
_cell_angle_beta 90.00
_cell_angle_gamma 90.00
loop_
_atom_site_label
_atom_site_type_symbol
_atom_site_fract_x
_atom_site_fract_y
_atom_site_fract_z
_atom_site_occupancy
Hf1 Hf 0.1669 0.2500 0.2025 1
Hf2 Hf 0.2407 0.2500 0.9515 1
N1 N 0.1303 0.2500 0.7806 1
N2 N 0.1436 0.7500 0.0648 1
O1 O 0.0335 0.2500 0.3945 1
```


No. 4
# Hf2N2O GGA-PBE optimized geometry
data_Hf2N2O
_chemical_formula_sum 'Hf16 N16 O8'
_symmetry_space_group_name_H-M 'C 1 2 1'
_symmetry_Int_Tables_number 5
_symmetry_space_group_name_Hall 'C 2y'
_cell_length_a 9.5512
_cell_length_b 5.4313
_cell_length_c 10.3195
_cell_angle_alpha 90.00
_cell_angle_beta 108.64
_cell_angle_gamma 90.00
loop_
_atom_site_label
_atom_site_type_symbol
_atom_site_fract_x
_atom_site_fract_y
_atom_site_fract_z
_atom_site_occupancy
Hf1 Hf 0.0570 0.0000 0.1607 1
Hf2 Hf 0.0604 0.4874 0.6598 1
Hf3 Hf 0.2018 0.9969 0.5902 1
Hf4 Hf 0.2102 0.4947 0.0882 1
N1 N 0.1044 0.1573 0.7574 1
N2 N 0.1470 0.8554 0.0031 1
N3 N 0.1507 0.3643 0.5049 1
N4 N 0.2471 0.2132 0.2509 1
O1 O 0.0000 0.3129 0.0000 1
O2 O 0.0000 0.8239 0.5000 1
O3 O 0.0966 0.6642 0.2594 1
# * DOS at the Fermi energy: 0.0 states/eV/f.u.


No. 5
# HfNO3 GGA-PBE optimized geometry
data_HfNO3
_chemical_formula_sum 'Hf1 N1 O3'
_symmetry_space_group_name_H-M 'P m -3 m'
_symmetry_Int_Tables_number 221
_symmetry_space_group_name_Hall '-P 4 2 3'
_cell_length_a 4.0855
_cell_length_b 4.0855
_cell_length_c 4.0855
_cell_angle_alpha 90.00
_cell_angle_beta 90.00
_cell_angle_gamma 90.00
loop_
_atom_site_label
_atom_site_type_symbol
_atom_site_fract_x
_atom_site_fract_y
_atom_site_fract_z
_atom_site_occupancy
Hf1 Hf 0.0000 0.0000 0.0000 1
N1 N 0.5000 0.5000 0.5000 1
O1 O 0.0000 0.0000 0.5000 1
# * DOS at the Fermi energy: 4.4 states/eV/f.u.


No. 6
# HfOsN2O GGA-PBE optimized geometry
data_HfOsN2O
_chemical_formula_sum 'Hf1 Os1 N2 O1'
_symmetry_space_group_name_H-M 'P 4/m m m'
_symmetry_Int_Tables_number 123
_symmetry_space_group_name_Hall '-P 4 2'
_cell_length_a 3.8487
_cell_length_b 3.8487
_cell_length_c 3.9250
_cell_angle_alpha 90.00
_cell_angle_beta 90.00
_cell_angle_gamma 90.00
loop_
_atom_site_label
_atom_site_type_symbol
_atom_site_fract_x
_atom_site_fract_y
_atom_site_fract_z
_atom_site_occupancy
Hf1 Hf 0.0000 0.0000 0.0000 1
Os1 Os 0.5000 0.5000 0.5000 1
N1 N 0.0000 0.5000 0.5000 1
O1 O 0.5000 0.5000 0.0000 1
# * DOS at the Fermi energy: 3.2 states/eV/f.u.


No. 7
# HfOsN2O GGA-PBE optimized geometry
data_HfOsN2O
_chemical_formula_sum 'Hf1 Os1 N2 O1'
_symmetry_space_group_name_H-M 'P 4/m m m'
_symmetry_Int_Tables_number 123
_symmetry_space_group_name_Hall '-P 4 2'
_cell_length_a 4.2134
_cell_length_b 4.2134
_cell_length_c 3.9226
_cell_angle_alpha 90.00
_cell_angle_beta 90.00
_cell_angle_gamma 90.00
loop_
_atom_site_label
_atom_site_type_symbol
_atom_site_fract_x
_atom_site_fract_y
_atom_site_fract_z
_atom_site_occupancy
Hf1 Hf 0.0000 0.0000 0.0000 1
Os1 Os 0.5000 0.5000 0.5000 1
N1 N 0.0000 0.5000 0.0000 1
O1 O 0.0000 0.0000 0.5000 1
# * DOS at the Fermi energy: 5.4 states/eV/f.u.


No. 8
# HfPNO2 GGA-PBE optimized geometry
data_HfPNO2
_chemical_formula_sum 'Hf1 P1 N1 O2'
_symmetry_space_group_name_H-M 'P 4/m m m'
_symmetry_Int_Tables_number 123
_symmetry_space_group_name_Hall '-P 4 2'
_cell_length_a 3.9263
_cell_length_b 3.9263
_cell_length_c 5.6580
_cell_angle_alpha 90.00
_cell_angle_beta 90.00
_cell_angle_gamma 90.00
loop_
_atom_site_label
_atom_site_type_symbol
_atom_site_fract_x
_atom_site_fract_y
_atom_site_fract_z
_atom_site_occupancy
Hf1 Hf 0.0000 0.0000 0.0000 1
P1 P 0.0000 0.0000 0.5000 1
N1 N 0.5000 0.5000 0.5000 1
O1 O 0.0000 0.5000 0.0000 1
# * DOS at the Fermi energy: 2.6 states/eV/f.u.


No. 9
# HfPNO2 GGA-PBE optimized geometry
data_HfPNO2
_chemical_formula_sum 'Hf1 P1 N1 O2'
_symmetry_space_group_name_H-M 'P 4/m m m'
_symmetry_Int_Tables_number 123
_symmetry_space_group_name_Hall '-P 4 2'
_cell_length_a 3.6232
_cell_length_b 3.6232
_cell_length_c 3.8089
_cell_angle_alpha 90.00
_cell_angle_beta 90.00
_cell_angle_gamma 90.00
loop_
_atom_site_label
_atom_site_type_symbol
_atom_site_fract_x
_atom_site_fract_y
_atom_site_fract_z
_atom_site_occupancy
Hf1 Hf 0.0000 0.0000 0.0000 1
P1 P 0.5000 0.5000 0.5000 1
N1 N 0.5000 0.5000 0.0000 1
O1 O 0.0000 0.5000 0.5000 1
# * DOS at the Fermi energy: 1.8 states/eV/f.u.


No. 10
# HfPNO2 GGA-PBE optimized geometry
data_HfPNO2
_chemical_formula_sum 'Hf1 P1 N1 O2'
_symmetry_space_group_name_H-M 'P 4/m m m'
_symmetry_Int_Tables_number 123
_symmetry_space_group_name_Hall '-P 4 2'
_cell_length_a 3.7944
_cell_length_b 3.7944
_cell_length_c 3.7400
_cell_angle_alpha 90.00
_cell_angle_beta 90.00
_cell_angle_gamma 90.00
loop_
_atom_site_label
_atom_site_type_symbol
_atom_site_fract_x
_atom_site_fract_y
_atom_site_fract_z
_atom_site_occupancy
Hf1 Hf 0.0000 0.0000 0.0000 1
P1 P 0.5000 0.5000 0.0000 1
N1 N 0.5000 0.5000 0.5000 1
O1 O 0.0000 0.5000 0.5000 1
# * DOS at the Fermi energy: 2.2 states/eV/f.u.


No. 11
# HfPN2O GGA-PBE optimized geometry
data_HfPN2O
_chemical_formula_sum 'Hf1 P1 N2 O1'
_symmetry_space_group_name_H-M 'P 4/m m m'
_symmetry_Int_Tables_number 123
_symmetry_space_group_name_Hall '-P 4 2'
_cell_length_a 3.6636
_cell_length_b 3.6636
_cell_length_c 3.4643
_cell_angle_alpha 90.00
_cell_angle_beta 90.00
_cell_angle_gamma 90.00
loop_
_atom_site_label
_atom_site_type_symbol
_atom_site_fract_x
_atom_site_fract_y
_atom_site_fract_z
_atom_site_occupancy
Hf1 Hf 0.0000 0.0000 0.0000 1
P1 P 0.5000 0.5000 0.5000 1
N1 N 0.0000 0.5000 0.5000 1
O1 O 0.5000 0.5000 0.0000 1
# * DOS at the Fermi energy: 1.7 states/eV/f.u.


No. 12
# HfPNO2 GGA-PBE optimized geometry
data_HfPNO2
_chemical_formula_sum 'Hf1 P1 N1 O2'
_symmetry_space_group_name_H-M 'P 4/m m m'
_symmetry_Int_Tables_number 123
_symmetry_space_group_name_Hall '-P 4 2'
_cell_length_a 3.9934
_cell_length_b 3.9934
_cell_length_c 4.3759
_cell_angle_alpha 90.00
_cell_angle_beta 90.00
_cell_angle_gamma 90.00
loop_
_atom_site_label
_atom_site_type_symbol
_atom_site_fract_x
_atom_site_fract_y
_atom_site_fract_z
_atom_site_occupancy
Hf1 Hf 0.0000 0.0000 0.0000 1
P1 P 0.5000 0.5000 0.5000 1
N1 N 0.0000 0.0000 0.5000 1
O1 O 0.0000 0.5000 0.0000 1
# * DOS at the Fermi energy: 2.6 states/eV/f.u.


no.,calculated total energy (eV per atom)
1,-10.4825
2,-10.4863
3,-10.4528
4,-10.4829
5,-7.1871
6,-8.5673
7,-7.8999
8,-7.0088
9,-7.4625
10,-6.6859
11,-7.9705
12,-7.3519